1.
A relaxed structure of Hf8ZnSb2, computed with PBE.

Output
Its formation energy from raw total energies is -2.33 eV per formula unit. The value obtained for the total energy is -8.32 eV/atom. The value obtained for the total magnetization is 0.0 μB per formula unit.

Lattice parameters (Å, degrees): 16.537 4.211 7.121 90.00 106.28 90.00
Space group C2/m (No. 12)
Unique sites:
Hf: 0.045 0.000 0.223 (multiplicity 4)
Hf: 0.086 0.500 0.944 (multiplicity 4)
Hf: 0.179 0.500 0.400 (multiplicity 4)
Hf: 0.222 0.000 0.130 (multiplicity 4)
Zn: 0.000 0.500 0.500 (multiplicity 2)
Sb: 0.143 0.000 0.681 (multiplicity 4)



2.
A relaxed structure of LaZr5, computed with PBE.

Output
The value obtained for the total energy is -7.87 eV/atom. The value obtained for the formation energy is 46 kJ/mol of formula units. The value obtained for the total magnetization is 0.0 μB per formula unit.

Lattice parameters (Å, degrees): 3.2768 3.2768 16.0910 90.00 90.00 120.00
Space group P-6m2 (No. 187)
Unique sites:
La: 0.0000 0.0000 0.0000 (multiplicity 1)
Zr: 0.0000 0.0000 0.3404 (multiplicity 2)
Zr: 0.6667 0.3333 0.1840 (multiplicity 2)
Zr: 0.6667 0.3333 0.5000 (multiplicity 1)



3.
A relaxed structure of Mn3Co8N8, computed with PBE.

Output
Its formation energy from raw total energies is 2.90 eV per formula unit. The value obtained for the total energy is -7.79 eV/atom. The value obtained for the total magnetization is 4.8 μB per formula unit.

Lattice parameters (Å, degrees): 15.019 3.834 6.330 90.00 108.55 90.00
Space group C2/m (No. 12)
Unique sites:
Mn: 0.000 0.000 0.000 (multiplicity 2)
Mn: 0.227 0.500 0.672 (multiplicity 4)
Co: 0.007 0.500 0.708 (multiplicity 4)
Co: 0.096 0.000 0.479 (multiplicity 4)
Co: 0.148 0.500 0.168 (multiplicity 4)
Co: 0.170 0.000 0.927 (multiplicity 4)
N: 0.041 0.000 0.727 (multiplicity 4)
N: 0.118 0.500 0.442 (multiplicity 4)
N: 0.141 0.000 0.211 (multiplicity 4)
N: 0.193 0.500 0.919 (multiplicity 4)



4.
A relaxed structure of La2AlCl, computed with PBE.

Output
Its formation energy from raw total energies is -3.73 eV per formula unit. The value obtained for the total energy is -4.79 eV/atom. The value obtained for the total magnetization is 0.0 μB per formula unit. Its distance to the lowest polymorph of the same formula is 12 meV per atom.

Lattice parameters (Å, degrees): 3.524 3.524 8.444 90.00 90.00 90.00
Space group P4/mmm (No. 123)
Unique sites:
La: 0.000 0.000 0.241 (multiplicity 2)
Al: 0.500 0.500 0.000 (multiplicity 1)
Cl: 0.500 0.500 0.500 (multiplicity 1)



5.
A relaxed structure of MgSc3Re, computed with PBE.

Output
The value obtained for the total energy is -6.35 eV/atom. The value obtained for the formation energy is 125 kJ/mol of formula units. The value obtained for the total magnetization is 0.0 μB per formula unit. Its distance to the lowest polymorph of the same formula is 0 meV per atom.

Lattice parameters (Å, degrees): 5.094 5.094 5.094 90.00 90.00 90.00
Space group Pm-3m (No. 221)
Unique sites:
Mg: 0.000 0.000 0.000 (multiplicity 1)
Sc: 0.000 0.500 0.500 (multiplicity 3)
Re: 0.500 0.500 0.500 (multiplicity 1)



6.
A relaxed structure of Pr3Mg3Cd2, computed with PBE.

Output
The value obtained for the total energy is -2.74 eV/atom. The value obtained for the formation energy is -94 kJ/mol of formula units. The value obtained for the total magnetization is 0.5 μB per formula unit. Its distance to the lowest polymorph of the same formula is 64 meV per atom.

Lattice parameters (Å, degrees): 8.1494 8.1494 4.1087 90.00 90.00 120.00
Space group P-62m (No. 189)
Unique sites:
Pr: 0.0000 0.6020 0.0000 (multiplicity 3)
Mg: 0.0000 0.2316 0.5000 (multiplicity 3)
Cd: 0.3333 0.6667 0.5000 (multiplicity 2)



7.
A relaxed structure of ReWC2Se, computed with PBE.

Output
Its formation energy from raw total energies is 9.50 eV per formula unit. The value obtained for the total energy is -7.57 eV/atom. The value obtained for the total magnetization is 3.6 μB per formula unit.

Lattice parameters (Å, degrees): 3.939 3.939 5.360 90.00 90.00 90.00
Space group P4/mmm (No. 123)
Unique sites:
Re: 0.000 0.000 0.000 (multiplicity 1)
W: 0.500 0.500 0.500 (multiplicity 1)
C: 0.000 0.500 0.000 (multiplicity 2)
Se: 0.000 0.000 0.500 (multiplicity 1)



8.
A relaxed structure of DyY2Ga6, computed with PBE.

Output
The value obtained for the total energy is -4.43 eV/atom. The value obtained for the formation energy is -407 kJ/mol of formula units. The value obtained for the total magnetization is 0.0 μB per formula unit. Its distance to the lowest polymorph of the same formula is 181 meV per atom.

Lattice parameters (Å, degrees): 4.308 6.981 13.375 90.00 90.00 90.00
Space group Immm (No. 71)
Unique sites:
Dy: 0.000 0.000 0.000 (multiplicity 2)
Y: 0.000 0.500 0.126 (multiplicity 4)
Ga: 0.000 0.190 0.500 (multiplicity 4)
Ga: 0.000 0.308 0.316 (multiplicity 8)



9.
A relaxed structure of Ac6CdRh3, computed with PBE.

Output
The value obtained for the total energy is -5.28 eV/atom. The value obtained for the formation energy is -503 kJ/mol of formula units. The value obtained for the total magnetization is 0.0 μB per formula unit.

Lattice parameters (Å, degrees): 12.896 4.386 12.911 90.00 109.44 90.00
Space group P2_1/m (No. 11)
Unique sites:
Ac: 0.033 0.250 0.356 (multiplicity 2)
Ac: 0.110 0.750 0.968 (multiplicity 2)
Ac: 0.244 0.250 0.792 (multiplicity 2)
Ac: 0.260 0.750 0.286 (multiplicity 2)
Ac: 0.413 0.250 0.572 (multiplicity 2)
Ac: 0.445 0.250 0.111 (multiplicity 2)
Cd: 0.198 0.750 0.554 (multiplicity 2)
Rh: 0.007 0.250 0.812 (multiplicity 2)
Rh: 0.338 0.750 0.952 (multiplicity 2)
Rh: 0.420 0.250 0.343 (multiplicity 2)



10.
A relaxed structure of Nd3Cd2Ru, computed with PBE.

Output
The value obtained for the total energy is -4.48 eV/atom. The value obtained for the formation energy is -141 kJ/mol of formula units. The value obtained for the total magnetization is 0.0 μB per formula unit. Its distance to the lowest polymorph of the same formula is 17 meV per atom.

Lattice parameters (Å, degrees): 5.454 7.162 9.606 111.78 106.41 90.10
Space group P-1 (No. 2)
Unique sites:
Nd: 0.001 0.250 0.000 (multiplicity 2)
Nd: 0.367 0.367 0.733 (multiplicity 2)
Nd: 0.367 0.867 0.733 (multiplicity 2)
Cd: 0.198 0.449 0.397 (multiplicity 2)
Cd: 0.198 0.949 0.397 (multiplicity 2)
Ru: 0.499 0.750 0.000 (multiplicity 2)



11.
A relaxed structure of AcCuNiH6, computed with PBE.

Output
The value obtained for the total energy is -4.10 eV/atom. The value obtained for the total magnetization is 0.0 μB per formula unit.

Lattice parameters (Å, degrees): 4.5396 4.5396 4.6765 90.00 90.00 120.00
Space group P-6m2 (No. 187)
Unique sites:
Ac: 0.0000 0.0000 0.0000 (multiplicity 1)
Cu: 0.6667 0.3333 0.5000 (multiplicity 1)
Ni: 0.3333 0.6667 0.5000 (multiplicity 1)
H: 0.0137 0.5068 0.2718 (multiplicity 6)



12.
A relaxed structure of ReSbRu2, computed with PBE.

Output
Its formation energy from raw total energies is 1.61 eV per formula unit. The value obtained for the total energy is -8.38 eV/atom. The value obtained for the total magnetization is 0.0 μB per formula unit.

Lattice parameters (Å, degrees): 3.118 4.540 8.882 90.00 90.00 90.00
Space group Immm (No. 71)
Unique sites:
Re: 0.000 0.000 0.000 (multiplicity 2)
Sb: 0.000 0.000 0.500 (multiplicity 2)
Ru: 0.000 0.500 0.235 (multiplicity 4)